VASP calculation (GGA+U) on an optimized crystal structure of BaCoSeO.

Output
Symmetry: Cmc2_1 (36)
Calculated total energy, Ry per atom: -0.394

Cell: 7.1053 7.1053 6.3631 Å, 90.00 90.00 145.61°
Last column: nearest neighbours and their distance in Å.
Atoms (fractional coordinates):
Ba 0.8696 0.1304 0.4510  2 O 2.64
Ba 0.1304 0.8696 0.9510  2 O 2.64
Co 0.5738 0.4262 0.3951  2 O 1.95-1.98
Co 0.4262 0.5738 0.8951  2 O 1.95-1.98
O 0.5344 0.4656 0.0961  2 Co 1.95-1.98
O 0.4656 0.5344 0.5961  2 Co 1.95-1.98
Se 0.1734 0.8266 0.4504  2 Co 2.52
Se 0.8266 0.1734 0.9504  2 Co 2.52